{
  "formula": "PrH2F",
  "functional": "PBE-GGA",
  "state": "relaxed",
  "cell": [[3.3528, 0.0000, 0.0000], [0.0000, 3.3528, 0.0000], [0.0000, 0.0000, 4.6357]],
  "species": ["Pr", "H", "H", "F"],
  "fractional_positions": [[0.5000, 0.5000, 0.0000], [0.0000, 0.0000, 0.7852], [0.0000, 0.0000, 0.2148], [0.5000, 0.5000, 0.5000]],
  "crystal_system": "tetragonal"
}

---

{
  "formula": "PrH2F",
  "functional": "PBE-GGA",
  "state": "relaxed",
  "cell": [[-1.4107, 3.5015, -1.1572], [-1.9964, 0.3004, -3.3932], [-3.8898, 0.6759, 0.0512]],
  "species": ["Pr", "H", "H", "F"],
  "fractional_positions": [[0.0000, 0.0000, 0.0000], [0.2500, 0.2500, 0.2500], [0.7500, 0.7500, 0.7500], [0.5000, 0.5000, 0.5000]],
  "crystal_system": "cubic"
}

---

{
  "formula": "PrHF",
  "functional": "PBE-GGA",
  "state": "relaxed",
  "cell": [[3.8279, -0.0056, 0.0038], [0.0040, 3.8280, 0.0036], [1.9158, 1.9110, 6.1702]],
  "species": ["Pr", "Pr", "H", "H", "F", "F"],
  "fractional_positions": [[0.2670, 0.2072, 0.3833], [0.5415, 0.4817, 0.8337], [0.1545, 0.5942, 0.6085], [0.6539, 0.0947, 0.6085], [0.4042, 0.8444, 0.1085], [0.9042, 0.3444, 0.1085]],
  "crystal_system": "tetragonal"
}

---

{
  "formula": "PrHF",
  "functional": "PBE-GGA",
  "state": "relaxed",
  "cell": [[-3.2708, 2.1232, 1.0553], [-3.2918, -0.0644, -2.3409], [-3.3316, -1.9113, 1.2518]],
  "species": ["Pr", "H", "F"],
  "fractional_positions": [[0.2500, 0.2500, 0.2500], [0.0000, 0.0000, 0.0000], [0.5000, 0.5000, 0.5000]],
  "crystal_system": "cubic"
}

---

{
  "formula": "PrHF",
  "functional": "PBE-GGA",
  "state": "relaxed",
  "cell": [[3.6939, 0.0000, 0.0000], [0.0000, 4.0791, 0.0000], [0.0000, -2.0396, 3.5326]],
  "species": ["Pr", "H", "F"],
  "fractional_positions": [[0.3190, 0.6667, 0.3333], [0.5094, 0.3333, 0.6667], [0.1716, 0.0000, 0.0000]],
  "crystal_system": "trigonal"
}

---

{
  "formula": "HPtF",
  "functional": "PBE-GGA",
  "state": "relaxed",
  "cell": [[5.7780, 0.0000, 0.0000], [0.0000, 4.6980, 0.0000], [0.0000, 0.0000, 5.0511]],
  "species": ["H", "H", "H", "H", "Pt", "Pt", "Pt", "Pt", "F", "F", "F", "F"],
  "fractional_positions": [[0.5006, 0.2500, 0.8408], [0.9994, 0.7500, 0.3408], [0.4994, 0.7500, 0.1592], [0.0006, 0.2500, 0.6592], [0.5001, 0.2500, 0.1505], [0.9999, 0.7500, 0.6505], [0.4999, 0.7500, 0.8495], [0.0001, 0.2500, 0.3495], [0.0000, 0.0000, 0.0000], [0.5000, 0.5000, 0.5000], [0.5000, 0.0000, 0.5000], [0.0000, 0.5000, 0.0000]],
  "crystal_system": "orthorhombic"
}

---

{
  "formula": "HPtF",
  "functional": "PBE-GGA",
  "state": "relaxed",
  "cell": [[7.7308, 0.0000, 0.0418], [0.0000, 2.6567, 0.0000], [-0.6488, 0.0000, 4.4410]],
  "species": ["H", "H", "Pt", "Pt", "F", "F"],
  "fractional_positions": [[0.2900, 0.0000, 0.6332], [0.2900, 0.5000, 0.1332], [0.7902, 0.0000, 0.3743], [0.7902, 0.5000, 0.8743], [0.2903, 0.0000, 0.8474], [0.2903, 0.5000, 0.3474]],
  "crystal_system": "monoclinic"
}

---

{
  "formula": "HPtF",
  "functional": "PBE-GGA",
  "state": "relaxed",
  "cell": [[-1.4871, 2.8590, -1.5734], [-2.3280, -5.5673, -5.5970], [-2.9845, -1.4812, 0.1193]],
  "species": ["H", "H", "Pt", "Pt", "F", "F"],
  "fractional_positions": [[0.0047, 0.4130, 0.3329], [0.7477, 0.7470, 0.3014], [0.8688, 0.1874, 0.6087], [0.4003, 0.3104, 0.9473], [0.6244, 0.9014, 0.9469], [0.8379, 0.6239, 0.5732]],
  "crystal_system": "triclinic"
}

---

Electronic total energy values, unit eV/atom, following the record order: -4.40; -4.87; -5.36; -5.31; -5.12; -3.97; -4.48; -4.37.
Density values, unit Mg/m³, following the record order: 5.16; 6.18; 5.91; 5.73; 5.02; 10.42; 7.83; 8.65.
Density of states at the Fermi level values, unit states/eV per atom, following the record order: 0.189; 0.000; 0.405; 0.593; 0.345; 0.411; 0.542; 0.045.